1.
# Tb9Sm2Ho, optimized geometry, DFT PBE-GGA
# - Formation energy from the elements: 0.019 eV/atom
data_Tb9Sm2Ho
_cell_length_a 5.0457
_cell_length_b 5.0457
_cell_length_c 15.1398
_cell_angle_alpha 90.00
_cell_angle_beta 90.00
_cell_angle_gamma 90.00
_space_group_name_H-M_alt 'P 4/m m m'
_space_group_IT_number 123
_space_group_name_Hall '-P 4 2'
loop_
_atom_site_label
_atom_site_fract_x
_atom_site_fract_y
_atom_site_fract_z
Tb1 0.0000 0.0000 0.0000
Tb2 0.0000 0.0000 0.3323
Tb3 0.0000 0.5000 0.1651
Tb4 0.0000 0.5000 0.5000
Sm1 0.5000 0.5000 0.3326
Ho1 0.5000 0.5000 0.0000

2.
# La2Pm3Ir3, optimized geometry, DFT PBE-GGA
# - Formation energy from the elements: -0.535 eV/atom
data_La2Pm3Ir3
_cell_length_a 13.1532
_cell_length_b 5.7075
_cell_length_c 13.9385
_cell_angle_alpha 90.00
_cell_angle_beta 90.74
_cell_angle_gamma 90.00
_space_group_name_H-M_alt 'C 1 m 1'
_space_group_IT_number 8
_space_group_name_Hall 'C -2y'
loop_
_atom_site_label
_atom_site_fract_x
_atom_site_fract_y
_atom_site_fract_z
La1 0.0000 0.0000 0.0000
La2 0.0022 0.0000 0.3625
La3 0.1223 0.5000 0.5524
La4 0.3348 0.0000 0.8589
Pm1 0.1111 0.5000 0.8171
Pm2 0.2231 0.5000 0.0479
Pm3 0.2244 0.5000 0.3132
Pm4 0.3442 0.0000 0.4934
Pm5 0.4141 0.0000 0.1828
Pm6 0.4230 0.5000 0.6818
Ir1 0.0151 0.5000 0.9942
Ir2 0.0203 0.5000 0.3700
Ir3 0.3184 0.5000 0.8679
Ir4 0.3221 0.5000 0.4922
Ir5 0.3834 0.5000 0.1814
Ir6 0.4570 0.0000 0.6763

3.
# KZnHgPb, optimized geometry, DFT PBE-GGA
# - Formation energy from the elements: 0.008 eV/atom
data_KZnHgPb
_cell_length_a 7.6750
_cell_length_b 7.6750
_cell_length_c 7.6750
_cell_angle_alpha 90.00
_cell_angle_beta 90.00
_cell_angle_gamma 90.00
_space_group_name_H-M_alt 'F -4 3 m'
_space_group_IT_number 216
_space_group_name_Hall 'F -4 2 3'
loop_
_atom_site_label
_atom_site_fract_x
_atom_site_fract_y
_atom_site_fract_z
K1 0.0000 0.0000 0.0000
Zn1 0.2500 0.2500 0.2500
Hg1 0.2500 0.2500 0.7500
Pb1 0.0000 0.0000 0.5000

4.
# NiAg3, optimized geometry, DFT PBE-GGA
# - Formation energy from the elements: 0.195 eV/atom
data_NiAg3
_cell_length_a 2.8441
_cell_length_b 2.8441
_cell_length_c 27.7538
_cell_angle_alpha 90.00
_cell_angle_beta 90.00
_cell_angle_gamma 120.00
_space_group_name_H-M_alt 'R -3 m'
_space_group_IT_number 166
_space_group_name_Hall '-R 3 2"'
loop_
_atom_site_label
_atom_site_fract_x
_atom_site_fract_y
_atom_site_fract_z
Ni1 0.0000 0.0000 0.0000
Ag1 0.0000 0.0000 0.2560
Ag2 0.0000 0.0000 0.5000

5.
# Co2Ir, optimized geometry, DFT PBE-GGA
# - Formation energy from the elements: 0.068 eV/atom
data_Co2Ir
_cell_length_a 2.6357
_cell_length_b 2.6357
_cell_length_c 6.2287
_cell_angle_alpha 90.00
_cell_angle_beta 90.00
_cell_angle_gamma 120.00
_space_group_name_H-M_alt 'P -3 m 1'
_space_group_IT_number 164
_space_group_name_Hall '-P 3 2"'
loop_
_atom_site_label
_atom_site_fract_x
_atom_site_fract_y
_atom_site_fract_z
Co1 0.3333 0.6667 0.1552
Ir1 0.0000 0.0000 0.5000

6.
# GeSbPd2, optimized geometry, DFT PBE-GGA
# - Uncorrected formation energy: -1.1 eV/f.u.
data_GeSbPd2
_cell_length_a 4.2821
_cell_length_b 4.2821
_cell_length_c 14.2536
_cell_angle_alpha 90.00
_cell_angle_beta 90.00
_cell_angle_gamma 120.00
_space_group_name_H-M_alt 'R -3 m'
_space_group_IT_number 166
_space_group_name_Hall '-R 3 2"'
loop_
_atom_site_label
_atom_site_fract_x
_atom_site_fract_y
_atom_site_fract_z
Ge1 0.0000 0.0000 0.0000
Sb1 0.0000 0.0000 0.5000
Pd1 0.0000 0.0000 0.2785

7.
# HoTm4Bi5, optimized geometry, DFT PBE-GGA
# - Formation energy from the elements: -0.793 eV/atom
data_HoTm4Bi5
_cell_length_a 4.4362
_cell_length_b 6.2705
_cell_length_c 22.1740
_cell_angle_alpha 90.00
_cell_angle_beta 90.00
_cell_angle_gamma 90.00
_space_group_name_H-M_alt 'I m m m'
_space_group_IT_number 71
_space_group_name_Hall '-I 2 2'
loop_
_atom_site_label
_atom_site_fract_x
_atom_site_fract_y
_atom_site_fract_z
Ho1 0.0000 0.0000 0.0000
Tm1 0.0000 0.0000 0.2004
Tm2 0.0000 0.0000 0.4001
Bi1 0.0000 0.5000 0.0000
Bi2 0.0000 0.5000 0.1998
Bi3 0.0000 0.5000 0.3992

8.
# AlCd3, optimized geometry, DFT PBE-GGA
# - Formation energy from the elements: 0.128 eV/atom
data_AlCd3
_cell_length_a 5.7176
_cell_length_b 5.9927
_cell_length_c 5.1287
_cell_angle_alpha 90.00
_cell_angle_beta 90.00
_cell_angle_gamma 90.00
_space_group_name_H-M_alt 'P m m n'
_space_group_IT_number 59
loop_
_space_group_symop_operation_xyz
'x,y,z'
'-x,-y,-z'
'-x+1/2,-y+1/2,z'
'x+1/2,y+1/2,-z'
'x+1/2,-y,-z'
'-x+1/2,y,z'
'-x,y+1/2,-z'
'x,-y+1/2,z'
loop_
_atom_site_label
_atom_site_fract_x
_atom_site_fract_y
_atom_site_fract_z
Al1 0.2500 0.2500 0.1618
Cd1 0.2500 0.0034 0.6606
Cd2 0.2500 0.7500 0.1562